# HoLuCuPt

An optimized crystal structure of HoLuCuPt (GGA-PBE, Alexandria via LeMat-Bulk).

Computed properties:
The density of states at the Fermi level is 2.65 states/eV/cell. For the calculated formation energy, the calculation gives -0.817 eV/atom.

Cell and atoms, written as extended XYZ:
```
4
Lattice="0.0000 3.4356 3.4356 3.4356 0.0000 3.4356 3.4356 3.4356 0.0000" Properties=species:S:1:pos:R:3 pbc="T T T"
Ho 0.0000 0.0000 0.0000
Lu 3.4356 3.4356 3.4356
Cu 5.1534 5.1534 5.1534
Pt 1.7178 1.7178 1.7178
```